Computed, not measured: crystalline LaNdAl2Cu4 at its relaxed geometry at the PBE level of DFT.

Calculated values
**E_tot**: -4.325 eV per atom

a = 4.287 Å, b = 4.287 Å, c = 9.652 Å
α = 90.00°, β = 90.00°, γ = 120.00°
Atoms (fractional coordinates):
1 La 0.000 0.000 0.000
2 Nd 0.667 0.333 0.500
3 Al 0.333 0.667 0.256
4 Al 0.333 0.667 0.744
5 Cu 0.000 0.000 0.310
6 Cu 0.000 0.000 0.690
7 Cu 0.667 0.333 0.199
8 Cu 0.667 0.333 0.801

***

Computed, not measured: crystalline LaAl2CuPd at its relaxed geometry at the PBE level of DFT.

Calculated values
**E_tot**: -4.888 eV per atom

a = 4.325 Å, b = 4.325 Å, c = 10.335 Å
α = 90.00°, β = 90.00°, γ = 90.00°
Atoms (fractional coordinates):
1 La 0.250 0.250 0.247
2 La 0.750 0.750 0.753
3 Al 0.250 0.250 0.628
4 Al 0.250 0.750 0.000
5 Al 0.750 0.250 0.000
6 Al 0.750 0.750 0.372
7 Cu 0.250 0.250 0.871
8 Cu 0.750 0.750 0.129
9 Pd 0.250 0.750 0.500
10 Pd 0.750 0.250 0.500

***

Computed, not measured: crystalline LaAl5CuPd at its relaxed geometry at the PBE level of DFT.

Calculated values
**E_tot**: -4.621 eV per atom

a = 4.095 Å, b = 7.261 Å, c = 9.831 Å
α = 90.00°, β = 90.00°, γ = 90.00°
Atoms (fractional coordinates):
1 La 0.000 0.000 0.000
2 La 0.500 0.500 0.500
3 Al 0.000 0.187 0.656
4 Al 0.000 0.189 0.356
5 Al 0.000 0.500 0.012
6 Al 0.000 0.811 0.356
7 Al 0.000 0.813 0.656
8 Al 0.500 0.000 0.512
9 Al 0.500 0.311 0.856
10 Al 0.500 0.313 0.156
11 Al 0.500 0.687 0.156
12 Al 0.500 0.689 0.856
13 Cu 0.000 0.500 0.255
14 Cu 0.500 0.000 0.755
15 Pd 0.000 0.500 0.766
16 Pd 0.500 0.000 0.266